# BaPrI5 GGA-PBE relaxed
data_BaPrI5
_symmetry_space_group_name_H-M 'P 1'
_symmetry_Int_Tables_number 1
_cell_length_a 9.3858
_cell_length_b 4.8091
_cell_length_c 15.2735
_cell_angle_alpha 90.00
_cell_angle_beta 92.36
_cell_angle_gamma 90.00
loop_
_symmetry_equiv_pos_as_xyz
'x,y,z'
loop_
_atom_site_label
_atom_site_type_symbol
_atom_site_fract_x
_atom_site_fract_y
_atom_site_fract_z
Ba1 Ba 0.0826 0.2500 0.1480
Ba2 Ba 0.9174 0.7500 0.8520
Pr1 Pr 0.4207 0.7500 0.3521
Pr2 Pr 0.5793 0.2500 0.6479
I1 I 0.0815 0.7500 0.3279
I2 I 0.1575 0.2500 0.9257
I3 I 0.3237 0.2500 0.4854
I4 I 0.3668 0.7500 0.1446
I5 I 0.3770 0.7500 0.7012
I6 I 0.6230 0.2500 0.2988
I7 I 0.6332 0.2500 0.8554
I8 I 0.6763 0.7500 0.5146
I9 I 0.8425 0.7500 0.0743
I10 I 0.9185 0.2500 0.6721
# **Symmetry**: P2_1/m (11)
# **Energy relative to the elements, uncorrected**: -1.5521 eV per atom

=====

# Cu2Ge2Pd7 GGA-PBE relaxed
data_Cu2Ge2Pd7
_symmetry_space_group_name_H-M 'P 1'
_symmetry_Int_Tables_number 1
_cell_length_a 5.2356
_cell_length_b 5.2356
_cell_length_c 6.6179
_cell_angle_alpha 96.13
_cell_angle_beta 96.13
_cell_angle_gamma 109.58
loop_
_symmetry_equiv_pos_as_xyz
'x,y,z'
loop_
_atom_site_label
_atom_site_type_symbol
_atom_site_fract_x
_atom_site_fract_y
_atom_site_fract_z
Cu1 Cu 0.0850 0.0850 0.3511
Cu2 Cu 0.9150 0.9150 0.6489
Ge1 Ge 0.2508 0.7492 0.0000
Ge2 Ge 0.7492 0.2508 0.0000
Pd1 Pd 0.0288 0.5742 0.3093
Pd2 Pd 0.2587 0.2587 0.0198
Pd3 Pd 0.4258 0.9712 0.6907
Pd4 Pd 0.5000 0.5000 0.5000
Pd5 Pd 0.5742 0.0288 0.3093
Pd6 Pd 0.7413 0.7413 0.9802
Pd7 Pd 0.9712 0.4258 0.6907
# **Symmetry**: C2/m (12)
# **Calculated formation energy**: -0.20 eV per atom

=====

# CoRe2W GGA-PBE relaxed
data_CoRe2W
_symmetry_space_group_name_H-M 'P 1'
_symmetry_Int_Tables_number 1
_cell_length_a 9.0954
_cell_length_b 9.0954
_cell_length_c 9.0954
_cell_angle_alpha 17.26
_cell_angle_beta 17.26
_cell_angle_gamma 17.26
loop_
_symmetry_equiv_pos_as_xyz
'x,y,z'
loop_
_atom_site_label
_atom_site_type_symbol
_atom_site_fract_x
_atom_site_fract_y
_atom_site_fract_z
Co1 Co 0.0000 0.0000 0.0000
Re1 Re 0.2562 0.2562 0.2562
Re2 Re 0.7438 0.7438 0.7438
W1 W 0.5000 0.5000 0.5000
# **Symmetry**: R-3m (166)
# **Calculated formation energy**: 0.24 eV per atom
# **Energy above the lowest structure with this stoichiometry**: 194 meV per atom

=====

# K3Nb7O19 GGA-PBE relaxed
data_K3Nb7O19
_symmetry_space_group_name_H-M 'P 1'
_symmetry_Int_Tables_number 1
_cell_length_a 6.5900
_cell_length_b 14.4079
_cell_length_c 19.3935
_cell_angle_alpha 80.23
_cell_angle_beta 87.87
_cell_angle_gamma 84.74
loop_
_symmetry_equiv_pos_as_xyz
'x,y,z'
loop_
_atom_site_label
_atom_site_type_symbol
_atom_site_fract_x
_atom_site_fract_y
_atom_site_fract_z
K1 K 0.0947 0.3628 0.2619
K2 K 0.1574 0.9050 0.8376
K3 K 0.1749 0.7498 0.0308
K4 K 0.2076 0.2272 0.4611
K5 K 0.3432 0.0952 0.6619
K6 K 0.4019 0.6383 0.2379
K7 K 0.5981 0.3617 0.7621
K8 K 0.6568 0.9048 0.3381
K9 K 0.7924 0.7728 0.5389
K10 K 0.8251 0.2502 0.9692
K11 K 0.8426 0.0950 0.1624
K12 K 0.9053 0.6372 0.7381
Nb1 Nb 0.1758 0.1869 0.8250
Nb2 Nb 0.1932 0.5064 0.4387
Nb3 Nb 0.2038 0.3478 0.6396
Nb4 Nb 0.2121 0.0357 0.0113
Nb5 Nb 0.2239 0.7428 0.3959
Nb6 Nb 0.2374 0.8905 0.2013
Nb7 Nb 0.2410 0.5812 0.5916
Nb8 Nb 0.2596 0.1080 0.2975
Nb9 Nb 0.2627 0.4182 0.9083
Nb10 Nb 0.2783 0.2563 0.1031
Nb11 Nb 0.2899 0.9621 0.4890
Nb12 Nb 0.2963 0.6521 0.8606
Nb13 Nb 0.3061 0.4928 0.0614
Nb14 Nb 0.3309 0.8112 0.6748
Nb15 Nb 0.6691 0.1888 0.3252
Nb16 Nb 0.6939 0.5072 0.9386
Nb17 Nb 0.7037 0.3479 0.1394
Nb18 Nb 0.7101 0.0379 0.5110
Nb19 Nb 0.7217 0.7437 0.8969
Nb20 Nb 0.7373 0.5818 0.0917
Nb21 Nb 0.7404 0.8920 0.7025
Nb22 Nb 0.7590 0.4188 0.4084
Nb23 Nb 0.7626 0.1095 0.7987
Nb24 Nb 0.7761 0.2572 0.6041
Nb25 Nb 0.7879 0.9643 0.9887
Nb26 Nb 0.7962 0.6522 0.3604
Nb27 Nb 0.8068 0.4936 0.5613
Nb28 Nb 0.8242 0.8131 0.1750
O1 O 0.0000 0.0000 0.5000
O2 O 0.0145 0.8437 0.6944
O3 O 0.0256 0.6875 0.8872
O4 O 0.0403 0.5419 0.0747
O5 O 0.0685 0.4073 0.4031
O6 O 0.0774 0.2535 0.5928
O7 O 0.0970 0.0885 0.7822
O8 O 0.1106 0.9340 0.9758
O9 O 0.1218 0.7791 0.1679
O10 O 0.1361 0.6074 0.3589
O11 O 0.1478 0.4531 0.5412
O12 O 0.2014 0.1230 0.9203
O13 O 0.2017 0.2808 0.7308
O14 O 0.2142 0.9708 0.1120
O15 O 0.2209 0.1628 0.0535
O16 O 0.2267 0.3156 0.8671
O17 O 0.2310 0.6262 0.4875
O18 O 0.2340 0.8048 0.3038
O19 O 0.2420 0.4725 0.6677
O20 O 0.2470 0.9992 0.2510
O21 O 0.2562 0.5273 0.8326
O22 O 0.2647 0.6841 0.6340
O23 O 0.2659 0.3744 0.0128
O24 O 0.2675 0.1942 0.1952
O25 O 0.2709 0.8390 0.4451
O26 O 0.2827 0.0336 0.3894
O27 O 0.2951 0.8762 0.5798
O28 O 0.2985 0.7193 0.7698
O29 O 0.3529 0.5471 0.9589
O30 O 0.3640 0.3927 0.1413
O31 O 0.3772 0.2231 0.3315
O32 O 0.3912 0.0647 0.5256
O33 O 0.4047 0.9111 0.7173
O34 O 0.4218 0.7462 0.9083
O35 O 0.4310 0.5935 0.0965
O36 O 0.4605 0.4598 0.4245
O37 O 0.4757 0.3130 0.6140
O38 O 0.4854 0.1553 0.8060
O39 O 0.5000 0.0000 0.0000
O40 O 0.5146 0.8447 0.1940
O41 O 0.5243 0.6870 0.3860
O42 O 0.5395 0.5402 0.5755
O43 O 0.5690 0.4065 0.9035
O44 O 0.5782 0.2538 0.0917
O45 O 0.5953 0.0889 0.2827
O46 O 0.6088 0.9353 0.4744
O47 O 0.6228 0.7769 0.6685
O48 O 0.6360 0.6073 0.8587
O49 O 0.6471 0.4529 0.0411
O50 O 0.7015 0.2807 0.2302
O51 O 0.7049 0.1238 0.4202
O52 O 0.7173 0.9664 0.6106
O53 O 0.7291 0.1610 0.5549
O54 O 0.7325 0.8058 0.8048
O55 O 0.7341 0.6256 0.9872
O56 O 0.7353 0.3159 0.3660
O57 O 0.7438 0.4727 0.1674
O58 O 0.7530 0.0008 0.7490
O59 O 0.7580 0.5275 0.3323
O60 O 0.7660 0.1952 0.6962
O61 O 0.7690 0.3738 0.5125
O62 O 0.7733 0.6844 0.1329
O63 O 0.7791 0.8372 0.9465
O64 O 0.7858 0.0292 0.8880
O65 O 0.7983 0.7192 0.2692
O66 O 0.7986 0.8770 0.0797
O67 O 0.8522 0.5469 0.4588
O68 O 0.8639 0.3926 0.6411
O69 O 0.8782 0.2209 0.8321
O70 O 0.8894 0.0660 0.0242
O71 O 0.9030 0.9115 0.2178
O72 O 0.9226 0.7465 0.4072
O73 O 0.9315 0.5927 0.5969
O74 O 0.9597 0.4581 0.9253
O75 O 0.9744 0.3125 0.1128
O76 O 0.9855 0.1563 0.3056
# **Symmetry**: P-1 (2)
# **Energy relative to the elements, uncorrected**: -2.5190 eV per atom

=====

# CrPd3I GGA-PBE relaxed
data_CrPd3I
_symmetry_space_group_name_H-M 'P 1'
_symmetry_Int_Tables_number 1
_cell_length_a 4.7643
_cell_length_b 4.7643
_cell_length_c 4.7643
_cell_angle_alpha 90.00
_cell_angle_beta 90.00
_cell_angle_gamma 90.00
loop_
_symmetry_equiv_pos_as_xyz
'x,y,z'
loop_
_atom_site_label
_atom_site_type_symbol
_atom_site_fract_x
_atom_site_fract_y
_atom_site_fract_z
Cr1 Cr 0.0000 0.0000 0.0000
Pd1 Pd 0.0000 0.0000 0.5000
Pd2 Pd 0.0000 0.5000 0.0000
Pd3 Pd 0.5000 0.0000 0.0000
I1 I 0.5000 0.5000 0.5000
# **Symmetry**: Pm-3m (221)
# **Energy relative to the elements, uncorrected**: 0.7617 eV per atom
# **Energy above the lowest structure with this stoichiometry**: 0 meV per atom

=====

# LaPm8Sm3 GGA-PBE relaxed
data_LaPm8Sm3
_symmetry_space_group_name_H-M 'P 1'
_symmetry_Int_Tables_number 1
_cell_length_a 7.3182
_cell_length_b 7.3182
_cell_length_c 8.1655
_cell_angle_alpha 102.98
_cell_angle_beta 102.98
_cell_angle_gamma 89.88
loop_
_symmetry_equiv_pos_as_xyz
'x,y,z'
loop_
_atom_site_label
_atom_site_type_symbol
_atom_site_fract_x
_atom_site_fract_y
_atom_site_fract_z
La1 La 0.0000 0.0000 0.0000
Pm1 Pm 0.0000 0.5003 0.9998
Pm2 Pm 0.1672 0.1672 0.6654
Pm3 Pm 0.3345 0.3345 0.3352
Pm4 Pm 0.3346 0.8328 0.3340
Pm5 Pm 0.5003 0.0000 0.9998
Pm6 Pm 0.5004 0.5004 0.0000
Pm7 Pm 0.6657 0.6657 0.6648
Pm8 Pm 0.8328 0.3346 0.3340
Sm1 Sm 0.1673 0.6663 0.6663
Sm2 Sm 0.6663 0.1673 0.6663
Sm3 Sm 0.8334 0.8334 0.3348
# **Symmetry**: Cm (8)
# **Calculated formation energy**: 0.01 eV per atom

=====

The evaluated volume for the records listed, in turn: 344.41 167.95 57.79 451.64 108.14 414.70 Å³/f.u..